[1]
# TbY2Cu4 (GGA-PBE, relaxed)
data_TbY2Cu4
_chemical_formula_sum 'Tb1 Y2 Cu4'
_cell_length_a 5.2618
_cell_length_b 5.2618
_cell_length_c 6.5088
_cell_angle_alpha 113.84
_cell_angle_beta 113.84
_cell_angle_gamma 90.00
_space_group_name_H-M_alt 'P 1'
_space_group_IT_number 1
loop_
_space_group_symop_operation_xyz
'x,y,z'
loop_
_atom_site_label
_atom_site_type_symbol
_atom_site_fract_x
_atom_site_fract_y
_atom_site_fract_z
_atom_site_occupancy
Cu1 Cu 0.6220 0.1220 0.2439 1
Cu2 Cu 0.1220 0.6220 0.2439 1
Cu3 Cu 0.8780 0.3780 0.7561 1
Cu4 Cu 0.3780 0.8780 0.7561 1
Tb1 Tb 0.0000 0.0000 0.0000 1
Y1 Y 0.2998 0.2998 0.5997 1
Y2 Y 0.7002 0.7002 0.4003 1
# V in A^3/atom: 21.12
# Symmetry: I4/mmm (139)
# ΔE_f in meV/atom: -5
# DOS(E_F) in states/eV/atom: 0.859



[2]
# PmBe4SiIr2 (GGA-PBE, relaxed)
data_PmBe4SiIr2
_chemical_formula_sum 'Pm1 Be4 Si1 Ir2'
_cell_length_a 3.9330
_cell_length_b 3.9330
_cell_length_c 8.4816
_cell_angle_alpha 76.59
_cell_angle_beta 76.59
_cell_angle_gamma 60.00
_space_group_name_H-M_alt 'P 1'
_space_group_IT_number 1
loop_
_space_group_symop_operation_xyz
'x,y,z'
loop_
_atom_site_label
_atom_site_type_symbol
_atom_site_fract_x
_atom_site_fract_y
_atom_site_fract_z
_atom_site_occupancy
Ir1 Ir 0.7764 0.7764 0.6708 1
Ir2 Ir 0.2236 0.2236 0.3292 1
Be1 Be 0.1219 0.1219 0.6344 1
Be2 Be 0.8781 0.8781 0.3656 1
Be3 Be 0.4096 0.4096 0.7712 1
Be4 Be 0.5904 0.5904 0.2288 1
Si1 Si 0.5000 0.5000 0.5000 1
Pm1 Pm 0.0000 0.0000 0.0000 1
# V in A^3/atom: 13.68
# Energy relative to the elements, uncorrected in meV per atom: -325
# Symmetry: R-3m (166)
# DOS(E_F) in states/eV/atom: 0.448



[3]
# Ti5FeCo2Pd2 (GGA-PBE, relaxed)
data_Ti5FeCo2Pd2
_chemical_formula_sum 'Ti10 Fe2 Co4 Pd4'
_cell_length_a 2.9275
_cell_length_b 10.0198
_cell_length_c 10.0198
_cell_angle_alpha 90.00
_cell_angle_beta 90.00
_cell_angle_gamma 90.00
_space_group_name_H-M_alt 'P 1'
_space_group_IT_number 1
loop_
_space_group_symop_operation_xyz
'x,y,z'
loop_
_atom_site_label
_atom_site_type_symbol
_atom_site_fract_x
_atom_site_fract_y
_atom_site_fract_z
_atom_site_occupancy
Ti1 Ti 0.5000 0.8104 0.9224 1
Ti2 Ti 0.5000 0.5000 0.0000 1
Ti3 Ti 0.5000 0.4224 0.3104 1
Ti4 Ti 0.5000 0.5776 0.6896 1
Ti5 Ti 0.5000 0.9224 0.1896 1
Ti6 Ti 0.5000 0.0776 0.8104 1
Ti7 Ti 0.5000 0.6896 0.4224 1
Ti8 Ti 0.5000 0.3104 0.5776 1
Ti9 Ti 0.5000 0.0000 0.5000 1
Ti10 Ti 0.5000 0.1896 0.0776 1
Co1 Co 0.0000 0.1315 0.6315 1
Co2 Co 0.0000 0.8685 0.3685 1
Co3 Co 0.0000 0.6315 0.8685 1
Co4 Co 0.0000 0.3685 0.1315 1
Pd1 Pd 0.0000 0.8318 0.6682 1
Pd2 Pd 0.0000 0.3318 0.8318 1
Pd3 Pd 0.0000 0.6682 0.1682 1
Pd4 Pd 0.0000 0.1682 0.3318 1
Fe1 Fe 0.0000 0.0000 0.0000 1
Fe2 Fe 0.0000 0.5000 0.5000 1
# V in A^3/atom: 14.70
# Symmetry: P4/mbm (127)
# ΔE_f in meV/atom: -290
# DOS(E_F) in states/eV/atom: 1.020



[4]
# YTeI2Br (GGA-PBE, relaxed)
data_YTeI2Br
_chemical_formula_sum 'Y1 Te1 I2 Br1'
_cell_length_a 5.9005
_cell_length_b 5.9005
_cell_length_c 6.2235
_cell_angle_alpha 90.00
_cell_angle_beta 90.00
_cell_angle_gamma 90.00
_space_group_name_H-M_alt 'P 1'
_space_group_IT_number 1
loop_
_space_group_symop_operation_xyz
'x,y,z'
loop_
_atom_site_label
_atom_site_type_symbol
_atom_site_fract_x
_atom_site_fract_y
_atom_site_fract_z
_atom_site_occupancy
Te1 Te 0.0000 0.0000 0.5000 1
Br1 Br 0.5000 0.5000 0.5000 1
Y1 Y 0.0000 0.0000 0.0000 1
I1 I 0.5000 0.0000 0.0000 1
I2 I 0.0000 0.5000 0.0000 1
# V in A^3/atom: 43.34
# Energy relative to the elements, uncorrected in meV per atom: -558
# Symmetry: P4/mmm (123)
# Excess energy over the best structure of this formula in the dataset in eV/atom: 0.000
# DOS(E_F) in states/eV/atom: 1.074



[5]
# PaSn2Te (GGA-PBE, relaxed)
data_PaSn2Te
_chemical_formula_sum 'Pa1 Sn2 Te1'
_cell_length_a 5.2915
_cell_length_b 4.4166
_cell_length_c 4.4166
_cell_angle_alpha 90.00
_cell_angle_beta 90.00
_cell_angle_gamma 90.00
_space_group_name_H-M_alt 'P 1'
_space_group_IT_number 1
loop_
_space_group_symop_operation_xyz
'x,y,z'
loop_
_atom_site_label
_atom_site_type_symbol
_atom_site_fract_x
_atom_site_fract_y
_atom_site_fract_z
_atom_site_occupancy
Sn1 Sn 0.0000 0.5000 0.0000 1
Sn2 Sn 0.0000 0.0000 0.5000 1
Te1 Te 0.5000 0.0000 0.0000 1
Pa1 Pa 0.5000 0.5000 0.5000 1
# V in A^3/atom: 25.80
# Energy relative to the elements, uncorrected in meV per atom: -322
# Symmetry: P4/mmm (123)
# DOS(E_F) in states/eV/atom: 0.893



[6]
# Dy5Tm4Sc2 (GGA-PBE, relaxed)
data_Dy5Tm4Sc2
_chemical_formula_sum 'Dy5 Tm4 Sc2'
_cell_length_a 6.7071
_cell_length_b 6.7071
_cell_length_c 9.5249
_cell_angle_alpha 68.18
_cell_angle_beta 68.18
_cell_angle_gamma 60.52
_space_group_name_H-M_alt 'P 1'
_space_group_IT_number 1
loop_
_space_group_symop_operation_xyz
'x,y,z'
loop_
_atom_site_label
_atom_site_type_symbol
_atom_site_fract_x
_atom_site_fract_y
_atom_site_fract_z
_atom_site_occupancy
Dy1 Dy 0.3660 0.8437 0.1745 1
Dy2 Dy 0.0000 0.0000 0.5000 1
Dy3 Dy 0.8437 0.3660 0.1745 1
Dy4 Dy 0.1563 0.6340 0.8255 1
Dy5 Dy 0.6340 0.1563 0.8255 1
Sc1 Sc 0.8714 0.8714 0.1428 1
Sc2 Sc 0.1286 0.1286 0.8572 1
Tm1 Tm 0.6467 0.6467 0.8426 1
Tm2 Tm 0.3533 0.3533 0.1574 1
Tm3 Tm 0.6538 0.6538 0.4903 1
Tm4 Tm 0.3462 0.3462 0.5097 1
# V in A^3/atom: 30.61
# Symmetry: C2/m (12)
# ΔE_f in meV/atom: 181
# Excess energy over the best structure of this formula in the dataset in eV/atom: 0.073
# DOS(E_F) in states/eV/atom: 1.620



[7]
# ZrPaTcOs (GGA-PBE, relaxed)
data_ZrPaTcOs
_chemical_formula_sum 'Zr1 Pa1 Tc1 Os1'
_cell_length_a 4.7686
_cell_length_b 4.7686
_cell_length_c 4.7686
_cell_angle_alpha 60.00
_cell_angle_beta 60.00
_cell_angle_gamma 60.00
_space_group_name_H-M_alt 'P 1'
_space_group_IT_number 1
loop_
_space_group_symop_operation_xyz
'x,y,z'
loop_
_atom_site_label
_atom_site_type_symbol
_atom_site_fract_x
_atom_site_fract_y
_atom_site_fract_z
_atom_site_occupancy
Tc1 Tc 0.7500 0.7500 0.7500 1
Pa1 Pa 0.0000 0.0000 0.0000 1
Os1 Os 0.2500 0.2500 0.2500 1
Zr1 Zr 0.5000 0.5000 0.5000 1
# V in A^3/atom: 19.17
# Symmetry: F-43m (216)
# ΔE_f in meV/atom: -316
# DOS(E_F) in states/eV/atom: 0.660



[8]
# Sr3Sn8Au3 (GGA-PBE, relaxed)
data_Sr3Sn8Au3
_chemical_formula_sum 'Sr3 Sn8 Au3'
_cell_length_a 5.1315
_cell_length_b 9.4550
_cell_length_c 8.9862
_cell_angle_alpha 68.99
_cell_angle_beta 73.41
_cell_angle_gamma 74.25
_space_group_name_H-M_alt 'P 1'
_space_group_IT_number 1
loop_
_space_group_symop_operation_xyz
'x,y,z'
loop_
_atom_site_label
_atom_site_type_symbol
_atom_site_fract_x
_atom_site_fract_y
_atom_site_fract_z
_atom_site_occupancy
Sr1 Sr 0.0000 0.0000 0.0000 1
Sr2 Sr 0.2945 0.6909 0.7202 1
Sr3 Sr 0.7055 0.3091 0.2798 1
Sn1 Sn 0.5045 0.3184 0.6727 1
Sn2 Sn 0.1409 0.5741 0.1441 1
Sn3 Sn 0.3481 0.0397 0.2641 1
Sn4 Sn 0.8591 0.4259 0.8559 1
Sn5 Sn 0.6519 0.9603 0.7359 1
Sn6 Sn 0.8526 0.8681 0.4267 1
Sn7 Sn 0.1474 0.1319 0.5733 1
Sn8 Sn 0.4955 0.6816 0.3273 1
Au1 Au 0.6607 0.6850 0.9936 1
Au2 Au 0.3393 0.3150 0.0064 1
Au3 Au 0.0000 0.5000 0.5000 1
# V in A^3/atom: 27.36
# Symmetry: C2/m (12)
# ΔE_f in meV/atom: -429
# DOS(E_F) in states/eV/atom: 0.389



[9]
# LiPmNd6 (GGA-PBE, relaxed)
data_LiPmNd6
_chemical_formula_sum 'Li1 Pm1 Nd6'
_cell_length_a 8.5268
_cell_length_b 9.7697
_cell_length_c 6.4847
_cell_angle_alpha 41.14
_cell_angle_beta 48.93
_cell_angle_gamma 55.06
_space_group_name_H-M_alt 'P 1'
_space_group_IT_number 1
loop_
_space_group_symop_operation_xyz
'x,y,z'
loop_
_atom_site_label
_atom_site_type_symbol
_atom_site_fract_x
_atom_site_fract_y
_atom_site_fract_z
_atom_site_occupancy
Nd1 Nd 0.0600 0.4333 0.2740 1
Nd2 Nd 0.4332 0.7674 0.7400 1
Nd3 Nd 0.9400 0.5667 0.7260 1
Nd4 Nd 0.5668 0.2326 0.2600 1
Nd5 Nd 0.2329 0.0591 0.1408 1
Nd6 Nd 0.7671 0.9409 0.8592 1
Pm1 Pm 0.5000 0.5000 0.5000 1
Li1 Li 0.0000 0.0000 0.0000 1
# V in A^3/atom: 33.08
# Symmetry: R-3 (148)
# ΔE_f in meV/atom: 114
# DOS(E_F) in states/eV/atom: 1.428



[10]
# LaPrGePt (GGA-PBE, relaxed)
data_LaPrGePt
_chemical_formula_sum 'La1 Pr1 Ge1 Pt1'
_cell_length_a 5.2392
_cell_length_b 5.2392
_cell_length_c 5.2392
_cell_angle_alpha 60.00
_cell_angle_beta 60.00
_cell_angle_gamma 60.00
_space_group_name_H-M_alt 'P 1'
_space_group_IT_number 1
loop_
_space_group_symop_operation_xyz
'x,y,z'
loop_
_atom_site_label
_atom_site_type_symbol
_atom_site_fract_x
_atom_site_fract_y
_atom_site_fract_z
_atom_site_occupancy
La1 La 0.5000 0.5000 0.5000 1
Pt1 Pt 0.7500 0.7500 0.7500 1
Pr1 Pr 0.0000 0.0000 0.0000 1
Ge1 Ge 0.2500 0.2500 0.2500 1
# V in A^3/atom: 25.42
# Symmetry: F-43m (216)
# ΔE_f in meV/atom: -835
# Excess energy over the best structure of this formula in the dataset in eV/atom: 0.164
# DOS(E_F) in states/eV/atom: 0.339



[11]
# CdHg2Os (GGA-PBE, relaxed)
data_CdHg2Os
_chemical_formula_sum 'Cd1 Hg2 Os1'
_cell_length_a 5.1740
_cell_length_b 2.8673
_cell_length_c 5.3043
_cell_angle_alpha 89.98
_cell_angle_beta 90.00
_cell_angle_gamma 90.00
_space_group_name_H-M_alt 'P 1'
_space_group_IT_number 1
loop_
_space_group_symop_operation_xyz
'x,y,z'
loop_
_atom_site_label
_atom_site_type_symbol
_atom_site_fract_x
_atom_site_fract_y
_atom_site_fract_z
_atom_site_occupancy
Cd1 Cd 0.5000 0.7500 0.7500 1
Hg1 Hg 0.0000 0.0176 0.0062 1
Hg2 Hg 0.0000 0.4824 0.4938 1
Os1 Os 0.5000 0.2500 0.2500 1
# V in A^3/atom: 19.67
# Symmetry: P2/m (10)
# ΔE_f in meV/atom: 707
# DOS(E_F) in states/eV/atom: 0.388



[12]
# Al2CoTe (GGA-PBE, relaxed)
data_Al2CoTe
_chemical_formula_sum 'Al2 Co1 Te1'
_cell_length_a 8.3633
_cell_length_b 8.3633
_cell_length_c 8.3633
_cell_angle_alpha 21.99
_cell_angle_beta 21.99
_cell_angle_gamma 21.99
_space_group_name_H-M_alt 'P 1'
_space_group_IT_number 1
loop_
_space_group_symop_operation_xyz
'x,y,z'
loop_
_atom_site_label
_atom_site_type_symbol
_atom_site_fract_x
_atom_site_fract_y
_atom_site_fract_z
_atom_site_occupancy
Co1 Co 0.2500 0.2500 0.2500 1
Te1 Te 0.7500 0.7500 0.7500 1
Al1 Al 0.9802 0.9802 0.9802 1
Al2 Al 0.5198 0.5198 0.5198 1
# V in A^3/atom: 17.98
# Energy relative to the elements, uncorrected in meV per atom: 76
# Symmetry: R-3m (166)
# DOS(E_F) in states/eV/atom: 0.914